Record 1
The following is a PBE+U calculation of an optimized crystal structure of RbPmFeO4, from the Alexandria database.

Cell lengths 6.016, 6.117, 7.613 Å; angles 90.00, 108.31, 90.00 degrees
Fractional positions:
Rb 0.701 0.750 0.932
Rb 0.299 0.250 0.068
Pm 0.812 0.750 0.461
Pm 0.188 0.250 0.539
Fe 0.259 0.750 0.333
Fe 0.741 0.250 0.667
O 0.957 0.476 0.679
O 0.043 0.976 0.321
O 0.043 0.524 0.321
O 0.957 0.024 0.679
O 0.460 0.750 0.204
O 0.540 0.250 0.796
O 0.467 0.750 0.556
O 0.533 0.250 0.444

Summary:
E ... -6.43 eV per atom
Density of states at the Fermi level ... 0.453 states/eV/f.u.

---

Record 2
The following is a PBE+U calculation of an optimized crystal structure of Rb3Pm2FeO6, from the Alexandria database.

Cell lengths 6.035, 6.035, 6.840 Å; angles 98.43, 98.43, 119.94 degrees
Fractional positions:
Rb 0.163 0.837 0.500
Rb 0.837 0.163 0.500
Rb 0.500 0.500 0.500
Pm 0.333 0.667 0.000
Pm 0.667 0.333 0.000
Fe 0.000 0.000 0.000
O 0.942 0.637 0.826
O 0.751 0.751 0.176
O 0.058 0.363 0.174
O 0.637 0.942 0.826
O 0.249 0.249 0.824
O 0.363 0.058 0.174

Summary:
E ... -6.11 eV per atom
Density of states at the Fermi level ... 0.000 states/eV/f.u.

---

Record 3
The following is a PBE+U calculation of an optimized crystal structure of Rb2PmFe2O4, from the Alexandria database.

Cell lengths 3.542, 6.812, 8.249 Å; angles 102.07, 102.40, 90.00 degrees
Fractional positions:
Rb 0.125 0.584 0.250
Rb 0.875 0.416 0.750
Pm 0.000 0.000 0.000
Fe 0.668 0.075 0.337
Fe 0.332 0.925 0.663
O 0.149 0.186 0.298
O 0.851 0.814 0.702
O 0.555 0.835 0.110
O 0.445 0.165 0.890

Summary:
E ... -5.80 eV per atom
Density of states at the Fermi level ... 1.402 states/eV/f.u.